Entry 1:
Compound: SmO
Source: the Alexandria database
Functional: GGA-PBEsol
Structure: relaxed

Values from the calculation:
Space group ... Fm-3m (225)
Mass density ... 9442 kg/m³
Total energy ... -8.048 eV per atom

POSCAR file:
```
SmO
1.0
0.000 2.446 2.446
2.446 0.000 2.446
2.446 2.446 0.000
Sm O
1 1
Direct
0.000 0.000 0.000
0.500 0.500 0.500
```

Entry 2:
Compound: SrSm2O4
Source: the Alexandria database
Functional: GGA-PBEsol
Structure: relaxed

Values from the calculation:
Space group ... Fd-3m (227)
Mass density ... 6112 kg/m³
Distance to the lowest polymorph of the same formula ... 0.48 kcal/mol of atoms
Total energy ... -7.956 eV per atom

POSCAR file:
```
SrSm2O4
1.0
0.000 4.972 4.972
4.972 0.000 4.972
4.972 4.972 0.000
Sr Sm O
2 4 8
Direct
0.125 0.125 0.125
0.875 0.875 0.875
0.000 0.500 0.500
0.500 0.000 0.500
0.500 0.500 0.000
0.500 0.500 0.500
0.265 0.265 0.265
0.265 0.265 0.704
0.265 0.704 0.265
0.296 0.735 0.735
0.704 0.265 0.265
0.735 0.296 0.735
0.735 0.735 0.296
0.735 0.735 0.735
```